1.
The following is a PBE-GGA calculation of a relaxed structure of AcLa2Zn, from Alexandria.

magnetization	0.00	μB per formula unit
total energy	-3.839	eV per atom
volume	35.43	Å³ per atom
space group	No. 160
formation energy	-0.030	eV/atom
D(E_F)	5.41	states/eV/cell

a b c (Å): 3.8823 3.8823 11.0856
angles (deg): 79.95 79.95 60.00
Closest atoms and distances in Å follow each position.
Fractional positions:
La: 0.2652 0.2652 0.2043  3 Zn 3.15
La: 0.0683 0.0683 0.7951  3 Zn 3.16
Ac: 0.4999 0.4999 0.5002  6 Ac 3.88, 6 La 3.91-3.92
Zn: 0.6666 0.6666 0.0004  6 La 3.15-3.16

2.
The following is a PBE-GGA calculation of a relaxed structure of AcLa3Zn, from Alexandria.

magnetization	0.00	μB per formula unit
total energy	-4.007	eV per atom
volume	35.80	Å³ per atom
space group	No. 187
formation energy	0.026	eV/atom
D(E_F)	7.36	states/eV/cell

a b c (Å): 3.9278 7.2543 7.2543
angles (deg): 120.00 90.00 90.00
Closest atoms and distances in Å follow each position.
Fractional positions:
Ac: 0.0000 0.6667 0.3333  2 Ac 3.93, 12 La 4.13, 3 Zn 4.19
Zn: 0.0000 0.3333 0.6667  6 La 3.01
La: 0.5000 0.1514 0.3027  2 Zn 3.01, 2 La 3.29
La: 0.5000 0.1514 0.8486  2 Zn 3.01, 2 La 3.29
La: 0.5000 0.6973 0.8486  2 Zn 3.01, 2 La 3.29

3.
The following is a PBE-GGA calculation of a relaxed structure of AcLa2Zn2, from Alexandria.

magnetization	0.00	μB per formula unit
total energy	-3.458	eV per atom
volume	30.31	Å³ per atom
space group	No. 65
formation energy	-0.155	eV/atom
D(E_F)	5.79	states/eV/cell

a b c (Å): 3.8068 3.8555 10.5022
angles (deg): 79.42 90.00 90.00
Closest atoms and distances in Å follow each position.
Fractional positions:
La: 0.0000 0.1806 0.6388  4 Zn 3.22, 2 La 3.45
Zn: 0.5000 0.4035 0.1931  4 La 3.22, 4 Ac 3.36
Ac: 0.0000 0.0000 0.0000  8 Zn 3.36, 2 La 3.73
Zn: 0.5000 0.5965 0.8069  4 La 3.22, 4 Ac 3.36
La: 0.0000 0.8194 0.3612  4 Zn 3.22, 2 La 3.45

no.,ΔE to the lowest computed polymorph (eV per formula unit)
1,0.48
2,0.66
3,0.12